1.
Here is a geometry-optimized SnRhAu2 structure from Alexandria via LeMat-Bulk. Energies are from PBE-GGA.

Results
crystal system	tetragonal
Fermi-level density of states	0.56	states/eV/atom
spin magnetization	0.0	Bohr magnetons per cell
energy of formation from the pure elements	-0.026	eV/atom

POSCAR file:
```
SnRhAu2
1.0
3.881 0.000 0.000
0.000 3.881 0.000
1.940 1.940 10.198
Rh Au Sn
2 4 2
direct
0.500 0.500 0.000 Rh
0.250 0.750 0.500 Rh
0.620 0.125 0.250 Au
0.130 0.625 0.250 Au
0.375 0.380 0.750 Au
0.875 0.870 0.750 Au
0.000 0.000 0.000 Sn
0.750 0.250 0.500 Sn
```

=====

2.
Here is a geometry-optimized SnRh2Au structure from Alexandria via LeMat-Bulk. Energies are from PBE-GGA.

Results
crystal system	orthorhombic
Fermi-level density of states	1.45	states/eV/atom
spin magnetization	0.9	Bohr magnetons per cell
energy of formation from the pure elements	0.403	eV/atom

POSCAR file:
```
SnRh2Au
1.0
4.887 -2.291 -2.595
-2.137 4.956 2.595
-2.950 0.292 5.203
Sn Rh Au
1 2 1
direct
0.000 0.000 0.000 Sn
0.000 0.245 0.245 Rh
0.000 0.755 0.755 Rh
0.000 0.500 0.500 Au
```

=====

3.
Here is a geometry-optimized Sn3RhAu structure from Alexandria via LeMat-Bulk. Energies are from PBE-GGA.

Results
crystal system	cubic
Fermi-level density of states	1.36	states/eV/atom
spin magnetization	0.0	Bohr magnetons per cell
energy of formation from the pure elements	0.074	eV/atom
excess energy over the best structure of this formula in the dataset	270	meV per atom

POSCAR file:
```
Sn3RhAu
1.0
-0.538 -2.793 4.233
0.205 -4.265 -2.788
5.067 -0.123 0.562
Rh Au Sn
1 1 3
direct
0.000 0.000 0.000 Rh
0.500 0.500 0.500 Au
0.000 0.500 0.000 Sn
0.000 0.000 0.500 Sn
0.500 0.000 0.000 Sn
```

=====

4.
Here is a geometry-optimized SnRh2Au structure from Alexandria via LeMat-Bulk. Energies are from PBE-GGA.

Results
crystal system	tetragonal
Fermi-level density of states	1.36	states/eV/atom
spin magnetization	0.0	Bohr magnetons per cell
energy of formation from the pure elements	-0.195	eV/atom

POSCAR file:
```
SnRh2Au
1.0
-0.123 1.334 -3.500
1.244 -3.733 -1.467
-4.008 -1.210 -0.320
Rh Au Sn
2 1 1
direct
0.000 0.000 0.500 Rh
0.000 0.500 0.000 Rh
0.500 0.500 0.500 Au
0.500 0.000 0.000 Sn
```